P) First-principles (GGA-PBE) data for a geometry-optimized KMg14Fe structure, as listed in Alexandria.

a = 10.4374 Å, b = 6.3764 Å, c = 11.2428 Å
α = 90.00°, β = 90.00°, γ = 90.00°
Space group Amm2 (No. 38)
Inequivalent atoms, fractional coordinates:
K (0.0000, 0.0000, 0.0000)
Mg (0.0000, 0.2434, 0.2496)
Mg (0.2258, 0.0000, 0.6407)
Mg (0.2503, 0.2416, 0.3988)
Mg (0.2649, 0.0000, 0.1546)
Mg (0.5000, 0.0000, 0.4854)
Mg (0.5000, 0.0000, 0.9827)
Mg (0.5000, 0.2439, 0.7351)
Fe (0.0000, 0.0000, 0.4692)

Q) First-principles (GGA-PBE) data for a geometry-optimized KMg14Fe structure, as listed in Alexandria.

a = 6.4335 Å, b = 6.4335 Å, c = 10.4201 Å
α = 90.00°, β = 90.00°, γ = 120.00°
Space group P-6m2 (No. 187)
Inequivalent atoms, fractional coordinates:
K (0.0000, 0.0000, 0.0000)
Mg (0.0104, 0.5052, 0.0000)
Mg (0.1642, 0.3283, 0.2734)
Mg (0.5047, 0.0094, 0.5000)
Mg (0.6667, 0.3333, 0.2404)
Fe (0.0000, 0.0000, 0.5000)

Q: Which of them is the least stable? A: P).